No. 1
# PBE-GGA TbPmDyTm, optimized geometry
# Calculated total energy, eV per cell: -17.94
# Formation energy from the elements, meV/atom: 128
# Density of states at the Fermi level, states/eV per atom: 2.04
data_TbPmDyTm
_cell_length_a 5.6746
_cell_length_b 5.6746
_cell_length_c 5.6746
_cell_angle_alpha 60.00
_cell_angle_beta 60.00
_cell_angle_gamma 60.00
_space_group_name_H-M_alt 'P 1'
_space_group_IT_number 1
_space_group_name_Hall 'P 1'
loop_
_atom_site_label
_atom_site_type_symbol
_atom_site_fract_x
_atom_site_fract_y
_atom_site_fract_z
Pm1 Pm 0.2500 0.2500 0.2500
Tm1 Tm 0.5000 0.5000 0.5000
Tb1 Tb 0.7500 0.7500 0.7500
Dy1 Dy 0.0000 0.0000 0.0000


No. 2
# PBE-GGA PrEr2, optimized geometry
# Calculated total energy, eV per cell: -55.35
# Formation energy from the elements, meV/atom: 23
# Density of states at the Fermi level, states/eV per atom: 1.65
data_PrEr2
_cell_length_a 3.6159
_cell_length_b 5.7449
_cell_length_c 18.8188
_cell_angle_alpha 90.00
_cell_angle_beta 90.00
_cell_angle_gamma 90.00
_space_group_name_H-M_alt 'P 1'
_space_group_IT_number 1
_space_group_name_Hall 'P 1'
loop_
_atom_site_label
_atom_site_type_symbol
_atom_site_fract_x
_atom_site_fract_y
_atom_site_fract_z
Pr1 Pr 0.7500 0.7497 0.4735
Pr2 Pr 0.2500 0.2503 0.5265
Pr3 Pr 0.2500 0.7503 0.9735
Pr4 Pr 0.7500 0.2497 0.0265
Er1 Er 0.7500 0.7519 0.8032
Er2 Er 0.2500 0.2481 0.1968
Er3 Er 0.2500 0.7481 0.3032
Er4 Er 0.7500 0.2519 0.6968
Er5 Er 0.7500 0.2483 0.3569
Er6 Er 0.2500 0.7517 0.6431
Er7 Er 0.2500 0.2517 0.8569
Er8 Er 0.7500 0.7483 0.1431


No. 3
# PBE-GGA ZnNi2Ir, optimized geometry
# Calculated total energy, eV per cell: -21.87
# Formation energy from the elements, meV/atom: -44
# Density of states at the Fermi level, states/eV per atom: 1.21
data_ZnNi2Ir
_cell_length_a 8.4345
_cell_length_b 8.4345
_cell_length_c 8.4345
_cell_angle_alpha 18.13
_cell_angle_beta 18.13
_cell_angle_gamma 18.13
_space_group_name_H-M_alt 'P 1'
_space_group_IT_number 1
_space_group_name_Hall 'P 1'
loop_
_atom_site_label
_atom_site_type_symbol
_atom_site_fract_x
_atom_site_fract_y
_atom_site_fract_z
Ni1 Ni 0.9988 0.9988 0.9988
Ni2 Ni 0.5012 0.5012 0.5012
Zn1 Zn 0.2500 0.2500 0.2500
Ir1 Ir 0.7500 0.7500 0.7500


No. 4
# PBE-GGA YInP2O8, optimized geometry
# Calculated total energy, eV per cell: -88.42
# Density of states at the Fermi level, states/eV per atom: 0.00
data_YInP2O8
_cell_length_a 5.1919
_cell_length_b 5.1919
_cell_length_c 6.8374
_cell_angle_alpha 90.00
_cell_angle_beta 90.00
_cell_angle_gamma 120.00
_space_group_name_H-M_alt 'P 1'
_space_group_IT_number 1
_space_group_name_Hall 'P 1'
loop_
_atom_site_label
_atom_site_type_symbol
_atom_site_fract_x
_atom_site_fract_y
_atom_site_fract_z
Y1 Y 0.0000 0.0000 0.5000
In1 In 0.0000 0.0000 0.0000
P1 P 0.6667 0.3333 0.2943
P2 P 0.3333 0.6667 0.7057
O1 O 0.8305 0.1695 0.2218
O2 O 0.8305 0.6610 0.2218
O3 O 0.3390 0.1695 0.2218
O4 O 0.6610 0.8305 0.7782
O5 O 0.3333 0.6667 0.4828
O6 O 0.6667 0.3333 0.5172
O7 O 0.1695 0.8305 0.7782
O8 O 0.1695 0.3390 0.7782


No. 5
# PBE-GGA CrReOs2, optimized geometry
# Calculated total energy, eV per cell: -44.15
# Formation energy from the elements, meV/atom: 94
# Density of states at the Fermi level, states/eV per atom: 1.31
data_CrReOs2
_cell_length_a 4.6814
_cell_length_b 4.6814
_cell_length_c 2.7177
_cell_angle_alpha 90.00
_cell_angle_beta 90.00
_cell_angle_gamma 109.49
_space_group_name_H-M_alt 'P 1'
_space_group_IT_number 1
_space_group_name_Hall 'P 1'
loop_
_atom_site_label
_atom_site_type_symbol
_atom_site_fract_x
_atom_site_fract_y
_atom_site_fract_z
Cr1 Cr 0.0000 0.5000 0.5000
Os1 Os 0.0000 0.0000 0.0000
Os2 Os 0.5000 0.5000 0.0000
Re1 Re 0.5000 0.0000 0.5000


No. 6
# PBE-GGA Tm4CdNi2, optimized geometry
# Calculated total energy, eV per cell: -31.77
# Formation energy from the elements, meV/atom: -201
# Density of states at the Fermi level, states/eV per atom: 0.96
data_Tm4CdNi2
_cell_length_a 4.6029
_cell_length_b 4.6029
_cell_length_c 9.5709
_cell_angle_alpha 76.09
_cell_angle_beta 76.09
_cell_angle_gamma 60.00
_space_group_name_H-M_alt 'P 1'
_space_group_IT_number 1
_space_group_name_Hall 'P 1'
loop_
_atom_site_label
_atom_site_type_symbol
_atom_site_fract_x
_atom_site_fract_y
_atom_site_fract_z
Tm1 Tm 0.7014 0.7014 0.8957
Tm2 Tm 0.8909 0.8909 0.3272
Tm3 Tm 0.2986 0.2986 0.1043
Tm4 Tm 0.1091 0.1091 0.6728
Cd1 Cd 0.5000 0.5000 0.5000
Ni1 Ni 0.5985 0.5985 0.2044
Ni2 Ni 0.4015 0.4015 0.7956


No. 7
# PBE-GGA LiPuMgPb2, optimized geometry
# Calculated total energy, eV per cell: -25.31
# Formation energy from the elements, meV/atom: -11
# Density of states at the Fermi level, states/eV per atom: 3.08
data_LiPuMgPb2
_cell_length_a 5.0477
_cell_length_b 5.0477
_cell_length_c 6.4540
_cell_angle_alpha 90.00
_cell_angle_beta 90.00
_cell_angle_gamma 120.00
_space_group_name_H-M_alt 'P 1'
_space_group_IT_number 1
_space_group_name_Hall 'P 1'
loop_
_atom_site_label
_atom_site_type_symbol
_atom_site_fract_x
_atom_site_fract_y
_atom_site_fract_z
Li1 Li 0.6667 0.3333 0.3199
Pu1 Pu 0.0000 0.0000 0.0030
Mg1 Mg 0.3333 0.6667 0.6745
Pb1 Pb 0.3333 0.6667 0.2149
Pb2 Pb 0.6667 0.3333 0.7877


No. 8
# PBE-GGA Mg2AuBr, optimized geometry
# Calculated total energy, eV per cell: -10.46
# Density of states at the Fermi level, states/eV per atom: 0.31
data_Mg2AuBr
_cell_length_a 8.4432
_cell_length_b 8.4432
_cell_length_c 8.4432
_cell_angle_alpha 156.41
_cell_angle_beta 155.32
_cell_angle_gamma 34.40
_space_group_name_H-M_alt 'P 1'
_space_group_IT_number 1
_space_group_name_Hall 'P 1'
loop_
_atom_site_label
_atom_site_type_symbol
_atom_site_fract_x
_atom_site_fract_y
_atom_site_fract_z
Au1 Au 0.4478 0.4478 0.0000
Br1 Br 0.7227 0.2227 0.5000
Mg1 Mg 0.0147 0.0147 0.0000
Mg2 Mg 0.3148 0.8148 0.5000


No. 9
# PBE-GGA Tm3Tl2Au, optimized geometry
# Calculated total energy, eV per cell: -47.59
# Formation energy from the elements, meV/atom: -395
# Density of states at the Fermi level, states/eV per atom: 0.76
data_Tm3Tl2Au
_cell_length_a 6.2404
_cell_length_b 6.6308
_cell_length_c 8.2538
_cell_angle_alpha 102.78
_cell_angle_beta 112.21
_cell_angle_gamma 90.00
_space_group_name_H-M_alt 'P 1'
_space_group_IT_number 1
_space_group_name_Hall 'P 1'
loop_
_atom_site_label
_atom_site_type_symbol
_atom_site_fract_x
_atom_site_fract_y
_atom_site_fract_z
Tm1 Tm 0.6345 0.2500 0.0000
Tm2 Tm 0.3655 0.7500 0.0000
Tm3 Tm 0.2542 0.0886 0.3183
Tm4 Tm 0.9359 0.4114 0.6817
Tm5 Tm 0.0641 0.5886 0.3183
Tm6 Tm 0.7458 0.9114 0.6817
Tl1 Tl 0.5647 0.5529 0.3327
Tl2 Tl 0.7680 0.0529 0.3327
Tl3 Tl 0.2320 0.9471 0.6673
Tl4 Tl 0.4353 0.4471 0.6673
Au1 Au 0.8746 0.7500 0.0000
Au2 Au 0.1254 0.2500 0.0000


No. 10
# PBE-GGA P2SN, optimized geometry
# Calculated total energy, eV per cell: -40.42
# Density of states at the Fermi level, states/eV per atom: 0.56
data_P2SN
_cell_length_a 4.3177
_cell_length_b 4.3177
_cell_length_c 6.8763
_cell_angle_alpha 71.70
_cell_angle_beta 71.70
_cell_angle_gamma 90.00
_space_group_name_H-M_alt 'P 1'
_space_group_IT_number 1
_space_group_name_Hall 'P 1'
loop_
_atom_site_label
_atom_site_type_symbol
_atom_site_fract_x
_atom_site_fract_y
_atom_site_fract_z
P1 P 0.5016 0.1250 0.2500
P2 P 0.2484 0.6250 0.2500
P3 P 0.3750 0.4984 0.7500
P4 P 0.8750 0.7516 0.7500
S1 S 0.0000 0.0000 0.0000
S2 S 0.7500 0.2500 0.5000
N1 N 0.5000 0.5000 0.0000
N2 N 0.2500 0.7500 0.5000


No. 11
# PBE-GGA CaCoIr3, optimized geometry
# Calculated total energy, eV per cell: -32.18
# Formation energy from the elements, meV/atom: 701
# Density of states at the Fermi level, states/eV per atom: 0.94
data_CaCoIr3
_cell_length_a 4.5582
_cell_length_b 4.5582
_cell_length_c 4.5582
_cell_angle_alpha 90.00
_cell_angle_beta 90.00
_cell_angle_gamma 90.00
_space_group_name_H-M_alt 'P 1'
_space_group_IT_number 1
_space_group_name_Hall 'P 1'
loop_
_atom_site_label
_atom_site_type_symbol
_atom_site_fract_x
_atom_site_fract_y
_atom_site_fract_z
Ca1 Ca 0.5000 0.5000 0.5000
Ir1 Ir 0.0000 0.5000 0.0000
Ir2 Ir 0.0000 0.0000 0.5000
Ir3 Ir 0.5000 0.0000 0.0000
Co1 Co 0.0000 0.0000 0.0000


No. 12
# PBE-GGA Ce5PuHg3, optimized geometry
# Calculated total energy, eV per cell: -92.69
# Formation energy from the elements, meV/atom: -160
# Density of states at the Fermi level, states/eV per atom: 2.35
data_Ce5PuHg3
_cell_length_a 8.6173
_cell_length_b 8.6173
_cell_length_c 8.9134
_cell_angle_alpha 118.91
_cell_angle_beta 118.91
_cell_angle_gamma 90.00
_space_group_name_H-M_alt 'P 1'
_space_group_IT_number 1
_space_group_name_Hall 'P 1'
loop_
_atom_site_label
_atom_site_type_symbol
_atom_site_fract_x
_atom_site_fract_y
_atom_site_fract_z
Ce1 Ce 0.0334 0.5334 0.6885
Ce2 Ce 0.6552 0.1552 0.6885
Ce3 Ce 0.1552 0.0334 0.6885
Ce4 Ce 0.5334 0.6552 0.6885
Ce5 Ce 0.9666 0.4666 0.3115
Ce6 Ce 0.3448 0.8448 0.3115
Ce7 Ce 0.8448 0.9666 0.3115
Ce8 Ce 0.4666 0.3448 0.3115
Ce9 Ce 0.5000 0.5000 0.0000
Ce10 Ce 0.0000 0.0000 0.0000
Pu1 Pu 0.7500 0.2500 0.5000
Pu2 Pu 0.2500 0.7500 0.5000
Hg1 Hg 0.6181 0.1181 0.0000
Hg2 Hg 0.3819 0.8819 0.0000
Hg3 Hg 0.8819 0.6181 0.0000
Hg4 Hg 0.1181 0.3819 0.0000
Hg5 Hg 0.2500 0.2500 0.5000
Hg6 Hg 0.7500 0.7500 0.5000


- Among the records above, which one has the lowest calculated total energy?
  Ce5PuHg3


Copy entry 1 word for word.
# PBE-GGA TbPmDyTm, optimized geometry
# Calculated total energy, eV per cell: -17.94
# Formation energy from the elements, meV/atom: 128
# Density of states at the Fermi level, states/eV per atom: 2.04
data_TbPmDyTm
_cell_length_a 5.6746
_cell_length_b 5.6746
_cell_length_c 5.6746
_cell_angle_alpha 60.00
_cell_angle_beta 60.00
_cell_angle_gamma 60.00
_space_group_name_H-M_alt 'P 1'
_space_group_IT_number 1
_space_group_name_Hall 'P 1'
loop_
_atom_site_label
_atom_site_type_symbol
_atom_site_fract_x
_atom_site_fract_y
_atom_site_fract_z
Pm1 Pm 0.2500 0.2500 0.2500
Tm1 Tm 0.5000 0.5000 0.5000
Tb1 Tb 0.7500 0.7500 0.7500
Dy1 Dy 0.0000 0.0000 0.0000